Entry from the Alexandria database: a geometry-optimized CaSmMgCd structure (GGA-PBE).

## Properties
- DFT formation energy (meV per atom) = -219
- DFT total energy (eV per cell) = -10.11
- symmetry = F-43m
- DOS at the Fermi energy (states/eV/f.u.) = 3.37

Unit cell a=5.445 b=5.445 c=5.445 alpha=60.00 beta=60.00 gamma=60.00
Sites, in units of the cell vectors:
1 Ca 0.000 0.000 0.000
2 Mg 0.750 0.750 0.750
3 Sm 0.500 0.500 0.500
4 Cd 0.250 0.250 0.250